Record 1
## Pr12Ho7Th (PBE)

Data for Pr12Ho7Th after structural relaxation.

Values from the calculation:
The energy of formation is 0.264 eV per atom. The value obtained for the energy above the lowest structure with this stoichiometry is 44 meV/atom. The space group is No. 148. The magnetization is 0.00 μB per cell.

a b c (Å): 6.2891 11.6329 11.6329
angles (deg): 116.83 100.38 100.38
Positions (direct):
Th 0.0000 0.0000 0.0000
Ho 0.8584 0.2451 0.9982
Ho 0.5000 0.0000 0.0000
Ho 0.6133 0.7531 0.7549
Ho 0.3867 0.2469 0.2451
Ho 0.1398 0.9982 0.7531
Ho 0.1416 0.7549 0.0018
Ho 0.8602 0.0018 0.2469
Pr 0.5978 0.6474 0.0019
Pr 0.5959 0.9981 0.6455
Pr 0.9504 0.3545 0.3526
Pr 0.4974 0.4109 0.5879
Pr 0.4022 0.3526 0.9981
Pr 0.9095 0.4121 0.8230
Pr 0.9135 0.8230 0.4109
Pr 0.0865 0.1770 0.5891
Pr 0.5026 0.5891 0.4121
Pr 0.0496 0.6455 0.6474
Pr 0.0905 0.5879 0.1770
Pr 0.4041 0.0019 0.3545



Record 2
## SiGe3I (PBE)

Data for SiGe3I after structural relaxation.

Values from the calculation:
The value obtained for the energy above the lowest structure with this stoichiometry is 827 meV/atom. The space group is No. 221. As for the uncorrected formation energy: 1.467 eV/atom. The magnetization is 0.00 μB per cell.

a b c (Å): 5.4354 5.4354 5.4354
angles (deg): 90.00 90.00 90.00
Positions (direct):
Ge 0.0000 0.5000 0.0000
Ge 0.5000 0.0000 0.0000
Ge 0.0000 0.0000 0.5000
I 0.0000 0.0000 0.0000
Si 0.5000 0.5000 0.5000



Record 3
## CaAgP2 (PBE)

Data for CaAgP2 after structural relaxation.

Values from the calculation:
The energy of formation is -0.173 eV per atom. The space group is No. 25. The magnetization is 0.00 μB per cell.

a b c (Å): 5.1004 2.9737 5.1466
angles (deg): 90.02 90.00 90.00
Positions (direct):
Ag 0.0000 0.2492 0.4278
P 0.5000 0.2502 0.3218
P 0.0000 0.2503 0.9274
Ca 0.5000 0.7502 0.8230



Record 4
## Ba3Sr4Hg (PBE)

Data for Ba3Sr4Hg after structural relaxation.

Values from the calculation:
The energy of formation is -0.116 eV per atom. The space group is No. 123. The magnetization is 0.00 μB per cell.

a b c (Å): 4.1906 4.1906 23.6736
angles (deg): 90.00 90.00 90.00
Positions (direct):
Sr 0.0000 0.0000 0.6384
Sr 0.0000 0.0000 0.9199
Sr 0.0000 0.0000 0.3616
Sr 0.0000 0.0000 0.0801
Ba 0.5000 0.5000 0.2219
Ba 0.5000 0.5000 0.7781
Ba 0.5000 0.5000 0.5000
Hg 0.5000 0.5000 0.0000